(one)
# ScBe5 (meta-GGA SCAN, PBEsol geometry)
# **Volume**: 61.43 Å³ per cell
data_ScBe5
_cell_length_a 4.4939
_cell_length_b 4.4939
_cell_length_c 3.5126
_cell_angle_alpha 90.00
_cell_angle_beta 90.00
_cell_angle_gamma 120.00
_space_group_name_H-M_alt 'P 6/m m m'
_space_group_IT_number 191
_space_group_name_Hall '-P 6 2'
loop_
_atom_site_label
_atom_site_type_symbol
_atom_site_fract_x
_atom_site_fract_y
_atom_site_fract_z
Sc1 Sc 0.0000 0.0000 0.0000
Be1 Be 0.0000 0.5000 0.5000
Be2 Be 0.3333 0.6667 0.0000

(two)
# ScBe5 (meta-GGA SCAN, PBEsol geometry)
# **Volume**: 252.84 Å³ per cell
data_ScBe5
_cell_length_a 6.323
_cell_length_b 6.323
_cell_length_c 6.323
_cell_angle_alpha 90.00
_cell_angle_beta 90.00
_cell_angle_gamma 90.00
_space_group_name_H-M_alt 'F -4 3 m'
_space_group_IT_number 216
_space_group_name_Hall 'F -4 2 3'
loop_
_atom_site_label
_atom_site_type_symbol
_atom_site_fract_x
_atom_site_fract_y
_atom_site_fract_z
Sc1 Sc 0.000 0.000 0.000
Be1 Be 0.126 0.126 0.626
Be2 Be 0.250 0.250 0.250

What should be chosen as the most stable of them? Choose (one).

(one)
# ScBe2Tl (meta-GGA SCAN, PBEsol geometry)
# **Volume**: 124.06 Å³ per cell
data_ScBe2Tl
_cell_length_a 3.741
_cell_length_b 3.772
_cell_length_c 8.793
_cell_angle_alpha 90.00
_cell_angle_beta 90.00
_cell_angle_gamma 90.00
_space_group_name_H-M_alt 'A m m 2'
_space_group_IT_number 38
loop_
_space_group_symop_operation_xyz
'x,y,z'
'-x,-y,z'
'-x,y,z'
'x,-y,z'
'x,y+1/2,z+1/2'
'-x,-y+1/2,z+1/2'
'-x,y+1/2,z+1/2'
'x,-y+1/2,z+1/2'
loop_
_atom_site_label
_atom_site_type_symbol
_atom_site_fract_x
_atom_site_fract_y
_atom_site_fract_z
Sc1 Sc 0.000 0.000 0.000
Be1 Be 0.000 0.000 0.699
Be2 Be 0.500 0.000 0.585
Tl1 Tl 0.500 0.000 0.289

(two)
# ScBe2Tl (meta-GGA SCAN, PBEsol geometry)
# **Volume**: 62.39 Å³ per cell
data_ScBe2Tl
_cell_length_a 4.140
_cell_length_b 4.140
_cell_length_c 3.640
_cell_angle_alpha 90.00
_cell_angle_beta 90.00
_cell_angle_gamma 90.00
_space_group_name_H-M_alt 'P 4/m m m'
_space_group_IT_number 123
_space_group_name_Hall '-P 4 2'
loop_
_atom_site_label
_atom_site_type_symbol
_atom_site_fract_x
_atom_site_fract_y
_atom_site_fract_z
Sc1 Sc 0.000 0.000 0.000
Be1 Be 0.000 0.500 0.500
Tl1 Tl 0.500 0.500 0.000

What should be chosen as the most stable of them? Choose (one).

(one)
# ScBe2W (meta-GGA SCAN, PBEsol geometry)
# **Volume**: 53.31 Å³ per cell
data_ScBe2W
_cell_length_a 2.831
_cell_length_b 3.390
_cell_length_c 5.555
_cell_angle_alpha 90.00
_cell_angle_beta 90.00
_cell_angle_gamma 90.00
_space_group_name_H-M_alt 'P m m m'
_space_group_IT_number 47
loop_
_space_group_symop_operation_xyz
'x,y,z'
'-x,-y,-z'
'-x,-y,z'
'x,y,-z'
'x,-y,-z'
'-x,y,z'
'-x,y,-z'
'x,-y,z'
loop_
_atom_site_label
_atom_site_type_symbol
_atom_site_fract_x
_atom_site_fract_y
_atom_site_fract_z
Sc1 Sc 0.000 0.000 0.000
Be1 Be 0.500 0.500 0.297
W1 W 0.000 0.000 0.500

(two)
# ScBe2W (meta-GGA SCAN, PBEsol geometry)
# **Volume**: 52.40 Å³ per cell
data_ScBe2W
_cell_length_a 3.958
_cell_length_b 3.958
_cell_length_c 3.345
_cell_angle_alpha 90.00
_cell_angle_beta 90.00
_cell_angle_gamma 90.00
_space_group_name_H-M_alt 'P 4/m m m'
_space_group_IT_number 123
_space_group_name_Hall '-P 4 2'
loop_
_atom_site_label
_atom_site_type_symbol
_atom_site_fract_x
_atom_site_fract_y
_atom_site_fract_z
Sc1 Sc 0.000 0.000 0.000
Be1 Be 0.000 0.500 0.500
W1 W 0.500 0.500 0.000

What should be chosen as the most stable of them? Choose (one).

(one)
# BeSi2Se (meta-GGA SCAN, PBEsol geometry)
# **Volume**: 71.82 Å³ per cell
data_BeSi2Se
_cell_length_a 3.631
_cell_length_b 3.594
_cell_length_c 5.504
_cell_angle_alpha 90.00
_cell_angle_beta 90.46
_cell_angle_gamma 90.00
_space_group_name_H-M_alt 'P 1 m 1'
_space_group_IT_number 6
loop_
_space_group_symop_operation_xyz
'x,y,z'
'x,-y,z'
loop_
_atom_site_label
_atom_site_type_symbol
_atom_site_fract_x
_atom_site_fract_y
_atom_site_fract_z
Be1 Be 0.000 0.000 0.000
Si1 Si 0.483 0.500 0.978
Si2 Si 0.498 0.000 0.713
Se1 Se 0.944 0.500 0.288

(two)
# BeSi2Se (meta-GGA SCAN, PBEsol geometry)
# **Volume**: 58.14 Å³ per cell
data_BeSi2Se
_cell_length_a 3.203
_cell_length_b 3.203
_cell_length_c 5.667
_cell_angle_alpha 90.00
_cell_angle_beta 90.00
_cell_angle_gamma 90.00
_space_group_name_H-M_alt 'P 4/m m m'
_space_group_IT_number 123
_space_group_name_Hall '-P 4 2'
loop_
_atom_site_label
_atom_site_type_symbol
_atom_site_fract_x
_atom_site_fract_y
_atom_site_fract_z
Be1 Be 0.000 0.000 0.000
Si1 Si 0.500 0.500 0.212
Se1 Se 0.000 0.000 0.500

(three)
# BeSi2Se (meta-GGA SCAN, PBEsol geometry)
# **Volume**: 63.72 Å³ per cell
data_BeSi2Se
_cell_length_a 3.382
_cell_length_b 3.382
_cell_length_c 5.571
_cell_angle_alpha 90.00
_cell_angle_beta 90.00
_cell_angle_gamma 90.00
_space_group_name_H-M_alt 'P 4/m m m'
_space_group_IT_number 123
_space_group_name_Hall '-P 4 2'
loop_
_atom_site_label
_atom_site_type_symbol
_atom_site_fract_x
_atom_site_fract_y
_atom_site_fract_z
Be1 Be 0.000 0.000 0.000
Si1 Si 0.000 0.500 0.500
Se1 Se 0.500 0.500 0.000

What should be chosen as the most stable of them? Choose (one).

(one)
# Sr2BeSe (meta-GGA SCAN, PBEsol geometry)
# **Volume**: 513.60 Å³ per cell
data_Sr2BeSe
_cell_length_a 8.048
_cell_length_b 8.048
_cell_length_c 7.930
_cell_angle_alpha 90.00
_cell_angle_beta 90.00
_cell_angle_gamma 90.00
_space_group_name_H-M_alt 'I -4 2 d'
_space_group_IT_number 122
_space_group_name_Hall 'I -4 2bw'
loop_
_atom_site_label
_atom_site_type_symbol
_atom_site_fract_x
_atom_site_fract_y
_atom_site_fract_z
Sr1 Sr 0.241 0.250 0.125
Be1 Be 0.000 0.000 0.500
Se1 Se 0.000 0.000 0.000

(two)
# Sr2BeSe (meta-GGA SCAN, PBEsol geometry)
# **Volume**: 121.58 Å³ per cell
data_Sr2BeSe
_cell_length_a 4.412
_cell_length_b 4.412
_cell_length_c 6.246
_cell_angle_alpha 90.00
_cell_angle_beta 90.00
_cell_angle_gamma 90.00
_space_group_name_H-M_alt 'P 4/m m m'
_space_group_IT_number 123
_space_group_name_Hall '-P 4 2'
loop_
_atom_site_label
_atom_site_type_symbol
_atom_site_fract_x
_atom_site_fract_y
_atom_site_fract_z
Sr1 Sr 0.000 0.000 0.000
Sr2 Sr 0.500 0.500 0.500
Be1 Be 0.000 0.000 0.500
Se1 Se 0.500 0.500 0.000

What should be chosen as the most stable of them? Choose (two).

(one)
# Ta2BeSe (meta-GGA SCAN, PBEsol geometry)
# **Volume**: 316.74 Å³ per cell
data_Ta2BeSe
_cell_length_a 5.164
_cell_length_b 5.164
_cell_length_c 11.876
_cell_angle_alpha 90.00
_cell_angle_beta 90.00
_cell_angle_gamma 90.00
_space_group_name_H-M_alt 'I -4 2 d'
_space_group_IT_number 122
_space_group_name_Hall 'I -4 2bw'
loop_
_atom_site_label
_atom_site_type_symbol
_atom_site_fract_x
_atom_site_fract_y
_atom_site_fract_z
Ta1 Ta 0.188 0.250 0.125
Be1 Be 0.000 0.000 0.000
Se1 Se 0.000 0.000 0.500

(two)
# Ta2BeSe (meta-GGA SCAN, PBEsol geometry)
# **Volume**: 250.99 Å³ per cell
data_Ta2BeSe
_cell_length_a 6.308
_cell_length_b 6.308
_cell_length_c 6.308
_cell_angle_alpha 90.00
_cell_angle_beta 90.00
_cell_angle_gamma 90.00
_space_group_name_H-M_alt 'F -4 3 m'
_space_group_IT_number 216
_space_group_name_Hall 'F -4 2 3'
loop_
_atom_site_label
_atom_site_type_symbol
_atom_site_fract_x
_atom_site_fract_y
_atom_site_fract_z
Ta1 Ta 0.000 0.000 0.000
Ta2 Ta 0.250 0.250 0.250
Be1 Be 0.250 0.250 0.750
Se1 Se 0.000 0.000 0.500

(three)
# Ta2BeSe (meta-GGA SCAN, PBEsol geometry)
# **Volume**: 118.52 Å³ per cell
data_Ta2BeSe
_cell_length_a 4.283
_cell_length_b 4.283
_cell_length_c 6.462
_cell_angle_alpha 90.00
_cell_angle_beta 90.00
_cell_angle_gamma 90.00
_space_group_name_H-M_alt 'I 4/m m m'
_space_group_IT_number 139
_space_group_name_Hall '-I 4 2'
loop_
_atom_site_label
_atom_site_type_symbol
_atom_site_fract_x
_atom_site_fract_y
_atom_site_fract_z
Ta1 Ta 0.000 0.500 0.250
Be1 Be 0.000 0.000 0.000
Se1 Se 0.000 0.000 0.500

What should be chosen as the most stable of them? Choose (three).

(one)
# Be2TeSe (meta-GGA SCAN, PBEsol geometry)
# **Volume**: 310.18 Å³ per cell
data_Be2TeSe
_cell_length_a 5.375
_cell_length_b 5.375
_cell_length_c 10.735
_cell_angle_alpha 90.00
_cell_angle_beta 90.00
_cell_angle_gamma 90.00
_space_group_name_H-M_alt 'I -4 2 d'
_space_group_IT_number 122
_space_group_name_Hall 'I -4 2bw'
loop_
_atom_site_label
_atom_site_type_symbol
_atom_site_fract_x
_atom_site_fract_y
_atom_site_fract_z
Be1 Be 0.222 0.250 0.125
Te1 Te 0.000 0.000 0.500
Se1 Se 0.000 0.000 0.000

(two)
# Be2TeSe (meta-GGA SCAN, PBEsol geometry)
# **Volume**: 178.80 Å³ per cell
data_Be2TeSe
_cell_length_a 3.339
_cell_length_b 6.920
_cell_length_c 7.738
_cell_angle_alpha 90.00
_cell_angle_beta 90.00
_cell_angle_gamma 90.00
_space_group_name_H-M_alt 'I m m m'
_space_group_IT_number 71
_space_group_name_Hall '-I 2 2'
loop_
_atom_site_label
_atom_site_type_symbol
_atom_site_fract_x
_atom_site_fract_y
_atom_site_fract_z
Be1 Be 0.000 0.219 0.000
Te1 Te 0.000 0.000 0.500
Se1 Se 0.000 0.500 0.500

What should be chosen as the most stable of them? Choose (one).

(one)
# Zr2BeSe (meta-GGA SCAN, PBEsol geometry)
# **Volume**: 276.39 Å³ per cell
data_Zr2BeSe
_cell_length_a 6.514
_cell_length_b 6.514
_cell_length_c 6.514
_cell_angle_alpha 90.00
_cell_angle_beta 90.00
_cell_angle_gamma 90.00
_space_group_name_H-M_alt 'F -4 3 m'
_space_group_IT_number 216
_space_group_name_Hall 'F -4 2 3'
loop_
_atom_site_label
_atom_site_type_symbol
_atom_site_fract_x
_atom_site_fract_y
_atom_site_fract_z
Zr1 Zr 0.000 0.000 0.000
Zr2 Zr 0.250 0.250 0.250
Be1 Be 0.250 0.250 0.750
Se1 Se 0.000 0.000 0.500

(two)
# Zr2BeSe (meta-GGA SCAN, PBEsol geometry)
# **Volume**: 136.26 Å³ per cell
data_Zr2BeSe
_cell_length_a 5.907
_cell_length_b 7.183
_cell_length_c 3.211
_cell_angle_alpha 90.00
_cell_angle_beta 90.00
_cell_angle_gamma 90.00
_space_group_name_H-M_alt 'C m m m'
_space_group_IT_number 65
_space_group_name_Hall '-C 2 2'
loop_
_atom_site_label
_atom_site_type_symbol
_atom_site_fract_x
_atom_site_fract_y
_atom_site_fract_z
Zr1 Zr 0.250 0.250 0.000
Be1 Be 0.000 0.000 0.500
Se1 Se 0.000 0.500 0.500

What should be chosen as the most stable of them? Choose (two).

(one)
# BeSi (meta-GGA SCAN, PBEsol geometry)
# **Volume**: 145.59 Å³ per cell
data_BeSi
_cell_length_a 7.488
_cell_length_b 2.606
_cell_length_c 7.534
_cell_angle_alpha 90.00
_cell_angle_beta 97.95
_cell_angle_gamma 90.00
_space_group_name_H-M_alt 'C 1 m 1'
_space_group_IT_number 8
loop_
_space_group_symop_operation_xyz
'x,y,z'
'x,-y,z'
'x+1/2,y+1/2,z'
'x+1/2,-y+1/2,z'
loop_
_atom_site_label
_atom_site_type_symbol
_atom_site_fract_x
_atom_site_fract_y
_atom_site_fract_z
Be1 Be 0.000 0.000 0.000
Be2 Be 0.094 0.500 0.288
Be3 Be 0.383 0.500 0.385
Si1 Si 0.178 0.000 0.554
Si2 Si 0.292 0.000 0.126
Si3 Si 0.477 0.000 0.741

(two)
# BeSi (meta-GGA SCAN, PBEsol geometry)
# **Volume**: 52.76 Å³ per cell
data_BeSi
_cell_length_a 3.5700
_cell_length_b 3.5700
_cell_length_c 4.7804
_cell_angle_alpha 90.00
_cell_angle_beta 90.00
_cell_angle_gamma 120.00
_space_group_name_H-M_alt 'P 63/m m c'
_space_group_IT_number 194
_space_group_name_Hall '-P 6c 2c'
loop_
_atom_site_label
_atom_site_type_symbol
_atom_site_fract_x
_atom_site_fract_y
_atom_site_fract_z
Be1 Be 0.3333 0.6667 0.2500
Si1 Si 0.0000 0.0000 0.0000

What should be chosen as the most stable of them? Choose (one).

(one)
# BeSi (meta-GGA SCAN, PBEsol geometry)
# **Volume**: 100.42 Å³ per cell
data_BeSi
_cell_length_a 3.579
_cell_length_b 7.165
_cell_length_c 3.916
_cell_angle_alpha 90.00
_cell_angle_beta 90.00
_cell_angle_gamma 90.00
_space_group_name_H-M_alt 'C m c m'
_space_group_IT_number 63
_space_group_name_Hall '-C 2c 2'
loop_
_atom_site_label
_atom_site_type_symbol
_atom_site_fract_x
_atom_site_fract_y
_atom_site_fract_z
Be1 Be 0.000 0.082 0.250
Si1 Si 0.000 0.390 0.250

(two)
# BeSi (meta-GGA SCAN, PBEsol geometry)
# **Volume**: 93.32 Å³ per cell
data_BeSi
_cell_length_a 2.442
_cell_length_b 4.506
_cell_length_c 8.480
_cell_angle_alpha 90.00
_cell_angle_beta 90.00
_cell_angle_gamma 90.00
_space_group_name_H-M_alt 'C m m e'
_space_group_IT_number 67
_space_group_name_Hall '-C 2a 2'
loop_
_atom_site_label
_atom_site_type_symbol
_atom_site_fract_x
_atom_site_fract_y
_atom_site_fract_z
Be1 Be 0.000 0.250 0.107
Si1 Si 0.000 0.250 0.651

What should be chosen as the most stable of them? Choose (one).

(one)
# Be3Si (meta-GGA SCAN, PBEsol geometry)
# **Volume**: 71.52 Å³ per cell
data_Be3Si
_cell_length_a 4.151
_cell_length_b 4.151
_cell_length_c 4.151
_cell_angle_alpha 90.00
_cell_angle_beta 90.00
_cell_angle_gamma 90.00
_space_group_name_H-M_alt 'P m -3 m'
_space_group_IT_number 221
_space_group_name_Hall '-P 4 2 3'
loop_
_atom_site_label
_atom_site_type_symbol
_atom_site_fract_x
_atom_site_fract_y
_atom_site_fract_z
Be1 Be 0.000 0.000 0.500
Si1 Si 0.000 0.000 0.000

(two)
# Be3Si (meta-GGA SCAN, PBEsol geometry)
# **Volume**: 118.48 Å³ per cell
data_Be3Si
_cell_length_a 7.5580
_cell_length_b 7.5580
_cell_length_c 2.3949
_cell_angle_alpha 90.00
_cell_angle_beta 90.00
_cell_angle_gamma 120.00
_space_group_name_H-M_alt 'R -3 m'
_space_group_IT_number 166
_space_group_name_Hall '-R 3 2"'
loop_
_atom_site_label
_atom_site_type_symbol
_atom_site_fract_x
_atom_site_fract_y
_atom_site_fract_z
Be1 Be 0.0000 0.5000 0.0000
Si1 Si 0.0000 0.0000 0.0000

What should be chosen as the most stable of them? Choose (two).

(one)
# Sr2BeSi (meta-GGA SCAN, PBEsol geometry)
# **Volume**: 527.83 Å³ per cell
data_Sr2BeSi
_cell_length_a 5.242
_cell_length_b 5.242
_cell_length_c 19.209
_cell_angle_alpha 90.00
_cell_angle_beta 90.00
_cell_angle_gamma 90.00
_space_group_name_H-M_alt 'I -4 2 d'
_space_group_IT_number 122
_space_group_name_Hall 'I -4 2bw'
loop_
_atom_site_label
_atom_site_type_symbol
_atom_site_fract_x
_atom_site_fract_y
_atom_site_fract_z
Sr1 Sr 0.250 0.250 0.125
Be1 Be 0.000 0.000 0.000
Si1 Si 0.000 0.000 0.500

(two)
# Sr2BeSi (meta-GGA SCAN, PBEsol geometry)
# **Volume**: 220.53 Å³ per cell
data_Sr2BeSi
_cell_length_a 4.064
_cell_length_b 4.553
_cell_length_c 11.918
_cell_angle_alpha 90.00
_cell_angle_beta 90.00
_cell_angle_gamma 90.00
_space_group_name_H-M_alt 'A m m 2'
_space_group_IT_number 38
loop_
_space_group_symop_operation_xyz
'x,y,z'
'-x,-y,z'
'-x,y,z'
'x,-y,z'
'x,y+1/2,z+1/2'
'-x,-y+1/2,z+1/2'
'-x,y+1/2,z+1/2'
'x,-y+1/2,z+1/2'
loop_
_atom_site_label
_atom_site_type_symbol
_atom_site_fract_x
_atom_site_fract_y
_atom_site_fract_z
Sr1 Sr 0.000 0.000 0.000
Sr2 Sr 0.500 0.000 0.281
Be1 Be 0.000 0.000 0.677
Si1 Si 0.500 0.000 0.589

What should be chosen as the most stable of them? Choose (two).